[1]
A relaxed KCaPb2 crystal, computed with PBE.

Its formation energy from the elements is -1.0 eV per formula unit. As for the total magnetization: 0.0000 μB/atom. The electronic total energy is -2.871 eV/atom.

It has space group Cmmm (No. 65), with a = 7.2341 Å, b = 10.0988 Å, c = 3.5307 Å, α = 90.00°, β = 90.00° and γ = 90.00°. The asymmetric unit holds K at (0.0000, 0.0000, 0.0000), Ca at (0.0000, 0.5000, 0.0000) and Pb at (0.2500, 0.2500, 0.5000).

[2]
A relaxed Pr8SmEr4 crystal, computed with PBE.

Its formation energy from the elements is 2.4 eV per formula unit. As for the total magnetization: 0.0000 μB/atom. The electronic total energy is -4.526 eV/atom.

It has space group R-3m (No. 166, hexagonal axes), with a = 7.3352 Å, b = 7.3352 Å, c = 29.0416 Å, α = 90.00°, β = 90.00° and γ = 120.00°. The asymmetric unit holds Pr at (0.0000, 0.0000, 0.2136), Pr at (0.0308, 0.5154, 0.7636), Sm at (0.0000, 0.0000, 0.5000), Er at (0.0000, 0.0000, 0.0000) and Er at (0.0000, 0.5000, 0.0000).

[3]
A relaxed Mg2Al6Rh crystal, computed with PBE.

Its formation energy from the elements is -2.1 eV per formula unit. As for the total magnetization: 0.0000 μB/atom. The electronic total energy is -3.899 eV/atom.

It has space group C2/m (No. 12), with a = 9.3450 Å, b = 5.3939 Å, c = 6.3683 Å, α = 90.00°, β = 90.30° and γ = 90.00°. The asymmetric unit holds Mg at (0.1670, 0.0000, 0.0796), Al at (0.0829, 0.2491, 0.6778), Al at (0.1680, 0.5000, 0.3245) and Rh at (0.0000, 0.5000, 0.0000).

[4]
A relaxed LaCeHgPb crystal, computed with PBE.

Its formation energy from the elements is -1.8 eV per formula unit. As for the total magnetization: 0.3997 μB/atom. The electronic total energy is -4.161 eV/atom.

It has space group Pmmm (No. 47), with a = 4.3522 Å, b = 5.2211 Å, c = 5.2894 Å, α = 90.00°, β = 90.00° and γ = 90.00°. The asymmetric unit holds La at (0.0000, 0.0000, 0.0000), Ce at (0.0000, 0.5000, 0.5000), Hg at (0.5000, 0.5000, 0.0000) and Pb at (0.5000, 0.0000, 0.5000).

[5]
A relaxed CuHg3P crystal, computed with PBE.

Its formation energy from the elements is 3.3 eV per formula unit. As for the total magnetization: 0.4113 μB/atom. The electronic total energy is -1.417 eV/atom.

It has space group Pm-3m (No. 221), with a = 5.0773 Å, b = 5.0773 Å, c = 5.0773 Å, α = 90.00°, β = 90.00° and γ = 90.00°. The asymmetric unit holds Cu at (0.0000, 0.0000, 0.0000), Hg at (0.0000, 0.0000, 0.5000) and P at (0.5000, 0.5000, 0.5000).

[6]
A relaxed Tb2Mn2Fe15 crystal, computed with PBE.

Its formation energy from the elements is 0.3 eV per formula unit. As for the total magnetization: 1.0639 μB/atom. The electronic total energy is -8.120 eV/atom.

It has space group R-3m (No. 166, hexagonal axes), with a = 8.2948 Å, b = 8.2948 Å, c = 12.3215 Å, α = 90.00°, β = 90.00° and γ = 120.00°. The asymmetric unit holds Tb at (0.0000, 0.0000, 0.1547), Mn at (0.0000, 0.0000, 0.4085), Fe at (0.0000, 0.2981, 0.5000), Fe at (0.0000, 0.5000, 0.0000) and Fe at (0.0051, 0.5026, 0.3402).

Number 1: D(E_F) 3.399 states/eV per cell. Number 2: D(E_F) 40.804 states/eV per cell. Number 3: D(E_F) 7.715 states/eV per cell. Number 4: D(E_F) 9.672 states/eV per cell. Number 5: D(E_F) 2.117 states/eV per cell. Number 6: D(E_F) 73.265 states/eV per cell.